Record 1
A plane-wave DFT calculation with GGA-PBE was carried out for a geometry-optimized Rb2SiBI6 structure.

Summary:
For the formation energy from raw total energies, the calculation gives -0.323 eV/atom.

a b c (Å): 8.046 8.046 8.046
angles (deg): 121.89 121.89 86.76
Atoms (fractional coordinates):
Rb: 0.250 0.750 0.500
Rb: 0.750 0.250 0.500
Si: 0.000 0.000 0.000
B: 0.500 0.500 0.000
I: 0.246 0.246 0.000
I: 0.258 0.258 0.516
I: 0.258 0.742 0.000
I: 0.742 0.258 0.000
I: 0.742 0.742 0.484
I: 0.754 0.754 0.000

***

Record 2
A plane-wave DFT calculation with GGA-PBE was carried out for a geometry-optimized Rb2SnBI6 structure.

Summary:
For the formation energy from raw total energies, the calculation gives -0.443 eV/atom.

a b c (Å): 8.162 8.162 8.162
angles (deg): 117.67 117.67 94.09
Atoms (fractional coordinates):
Rb: 0.250 0.750 0.500
Rb: 0.750 0.250 0.500
Sn: 0.000 0.000 0.000
B: 0.500 0.500 0.000
I: 0.260 0.260 0.520
I: 0.260 0.740 0.000
I: 0.276 0.276 0.000
I: 0.724 0.724 0.000
I: 0.740 0.260 0.000
I: 0.740 0.740 0.480

***

Record 3
A plane-wave DFT calculation with GGA-PBE was carried out for a geometry-optimized Rb2TaBI6 structure.

Summary:
For the formation energy from raw total energies, the calculation gives -0.294 eV/atom.

a b c (Å): 8.141 8.141 8.141
angles (deg): 60.00 60.00 60.00
Atoms (fractional coordinates):
Rb: 0.250 0.250 0.250
Rb: 0.750 0.750 0.750
Ta: 0.000 0.000 0.000
B: 0.500 0.500 0.500
I: 0.248 0.248 0.752
I: 0.248 0.752 0.248
I: 0.248 0.752 0.752
I: 0.752 0.248 0.248
I: 0.752 0.248 0.752
I: 0.752 0.752 0.248

***

Record 4
A plane-wave DFT calculation with GGA-PBE was carried out for a geometry-optimized RbTcB2I structure.

Summary:
For the formation energy from raw total energies, the calculation gives 3.152 eV/atom.

a b c (Å): 5.274 5.274 5.807
angles (deg): 90.00 90.00 90.00
Atoms (fractional coordinates):
Rb: 0.000 0.000 0.000
Tc: 0.000 0.000 0.500
B: 0.000 0.500 0.000
B: 0.500 0.000 0.000
I: 0.500 0.500 0.500

***

Record 5
A plane-wave DFT calculation with GGA-PBE was carried out for a geometry-optimized Rb2TcBI6 structure.

Summary:
For the formation energy from raw total energies, the calculation gives -0.220 eV/atom.

a b c (Å): 8.025 8.025 8.025
angles (deg): 120.08 120.08 89.86
Atoms (fractional coordinates):
Rb: 0.250 0.750 0.500
Rb: 0.750 0.250 0.500
Tc: 0.000 0.000 0.000
B: 0.500 0.500 0.000
I: 0.248 0.248 0.497
I: 0.248 0.752 0.000
I: 0.249 0.249 0.000
I: 0.751 0.751 0.000
I: 0.752 0.248 0.000
I: 0.752 0.752 0.503

***

Record 6
A plane-wave DFT calculation with GGA-PBE was carried out for a geometry-optimized RbBTeI2 structure.

Summary:
For the formation energy from raw total energies, the calculation gives 0.099 eV/atom.

a b c (Å): 6.185 6.185 4.489
angles (deg): 90.00 90.00 90.00
Atoms (fractional coordinates):
Rb: 0.000 0.000 0.000
B: 0.500 0.500 0.500
Te: 0.500 0.500 0.000
I: 0.000 0.500 0.500
I: 0.500 0.000 0.500

***

Record 7
A plane-wave DFT calculation with GGA-PBE was carried out for a geometry-optimized Rb2BTeI6 structure.

Summary:
For the formation energy from raw total energies, the calculation gives -0.346 eV/atom.

a b c (Å): 8.315 8.315 8.315
angles (deg): 115.92 115.92 97.22
Atoms (fractional coordinates):
Rb: 0.250 0.750 0.500
Rb: 0.750 0.250 0.500
B: 0.000 0.000 0.000
Te: 0.500 0.500 0.000
I: 0.197 0.197 0.000
I: 0.254 0.254 0.508
I: 0.254 0.746 0.000
I: 0.746 0.254 0.000
I: 0.746 0.746 0.492
I: 0.803 0.803 0.000

***

Record 8
A plane-wave DFT calculation with GGA-PBE was carried out for a geometry-optimized RbBTeI2 structure.

Summary:
For the formation energy from raw total energies, the calculation gives 1.205 eV/atom.

a b c (Å): 6.884 6.884 6.852
angles (deg): 90.00 90.00 90.00
Atoms (fractional coordinates):
Rb: 0.000 0.000 0.000
B: 0.500 0.500 0.500
Te: 0.000 0.000 0.500
I: 0.000 0.500 0.000
I: 0.500 0.000 0.000